1.
This record from Alexandria via LeMat-Bulk describes a geometry-optimized CsMgCr3 structure. The functional is PBE.

## Properties
**ΔH_f (0 K)**: 2.411 eV/atom

Cell lengths 5.122, 5.122, 5.122 Å; angles 90.00, 90.00, 90.00 degrees
Space group Pm-3m (No. 221)
One atom of each set of equivalent atoms:
Cs 0.000 0.000 0.000
Mg 0.500 0.500 0.500
Cr 0.000 0.000 0.500



2.
This record from Alexandria via LeMat-Bulk describes a geometry-optimized LaHoMgTl structure. The functional is PBE.

## Properties
**ΔH_f (0 K)**: -0.249 eV/atom

Cell lengths 7.747, 7.747, 7.747 Å; angles 90.00, 90.00, 90.00 degrees
Space group F-43m (No. 216)
One atom of each set of equivalent atoms:
La 0.000 0.000 0.000
Ho 0.000 0.000 0.500
Mg 0.250 0.250 0.750
Tl 0.250 0.250 0.250



3.
This record from Alexandria via LeMat-Bulk describes a geometry-optimized CdAs2Rh structure. The functional is PBE.

## Properties
**ΔH_f (0 K)**: -0.048 eV/atom

Cell lengths 3.023, 3.916, 13.316 Å; angles 90.00, 90.00, 90.00 degrees
Space group Imm2 (No. 44)
One atom of each set of equivalent atoms:
Cd 0.000 0.000 0.000
As 0.000 0.000 0.375
As 0.000 0.500 0.164
Rh 0.000 0.500 0.726



| no. | total DFT energy (no corrections) (eV per atom) |
| --- | --- |
| 1 | -3.853 |
| 2 | -3.616 |
| 3 | -4.440 |